Entry from the Alexandria database: crystalline LiGeF at its relaxed geometry (GGA-PBE). Values from VASP.

## Properties
Relative energy among the computed polymorphs   123 meV/atom

Quantum ESPRESSO input file:
```
&SYSTEM
  ibrav = 0, nat = 6, ntyp = 3
/
ATOMIC_SPECIES
Li 6.94 Li.upf
Ge 72.64 Ge.upf
F 19.00 F.upf
CELL_PARAMETERS angstrom
3.425 0.000 0.000
-0.001 3.760 0.000
-0.954 -0.297 8.337
ATOMIC_POSITIONS crystal
Li 0.000 0.000 0.000
Li 0.480 0.495 0.934
Ge 0.514 0.010 0.511
Ge 0.991 0.503 0.424
F 0.008 0.503 0.034
F 0.472 0.992 0.900
```

---

Entry from the Alexandria database: crystalline LiGe2F at its relaxed geometry (GGA-PBE). Values from VASP.

## Properties
Relative energy among the computed polymorphs   494 meV/atom

Quantum ESPRESSO input file:
```
&SYSTEM
  ibrav = 0, nat = 4, ntyp = 3
/
ATOMIC_SPECIES
Li 6.94 Li.upf
Ge 72.64 Ge.upf
F 19.00 F.upf
CELL_PARAMETERS angstrom
0.000 3.145 3.145
3.145 0.000 3.145
3.145 3.145 0.000
ATOMIC_POSITIONS crystal
Li 0.000 0.000 0.000
Ge 0.250 0.250 0.250
Ge 0.750 0.750 0.750
F 0.500 0.500 0.500
```

---

Entry from the Alexandria database: crystalline Li3GeF7 at its relaxed geometry (GGA-PBE). Values from VASP.

Quantum ESPRESSO input file:
```
&SYSTEM
  ibrav = 0, nat = 11, ntyp = 3
/
ATOMIC_SPECIES
Li 6.94 Li.upf
Ge 72.64 Ge.upf
F 19.00 F.upf
CELL_PARAMETERS angstrom
3.524 -3.764 0.000
3.524 3.764 0.000
-1.446 0.000 5.043
ATOMIC_POSITIONS crystal
Li 0.000 0.000 0.000
Li 0.098 0.649 0.347
Li 0.649 0.098 0.347
Ge 0.494 0.494 0.916
F 0.220 0.568 0.679
F 0.271 0.271 0.034
F 0.410 0.762 0.170
F 0.568 0.220 0.679
F 0.724 0.724 0.825
F 0.762 0.410 0.170
F 0.970 0.970 0.339
```

---

Entry from the Alexandria database: crystalline LiGeF3 at its relaxed geometry (GGA-PBE). Values from VASP.

## Properties
Relative energy among the computed polymorphs   0 meV/atom

Quantum ESPRESSO input file:
```
&SYSTEM
  ibrav = 0, nat = 10, ntyp = 3
/
ATOMIC_SPECIES
Li 6.94 Li.upf
Ge 72.64 Ge.upf
F 19.00 F.upf
CELL_PARAMETERS angstrom
4.978 0.000 0.000
-2.488 4.312 0.000
-0.001 -2.867 7.025
ATOMIC_POSITIONS crystal
Li 0.167 0.334 0.001
Li 0.833 0.666 0.999
Ge 0.396 0.793 0.688
Ge 0.604 0.207 0.312
F 0.125 0.891 0.834
F 0.234 0.790 0.166
F 0.444 0.569 0.834
F 0.556 0.431 0.166
F 0.766 0.210 0.834
F 0.875 0.109 0.166
```

---

Entry from the Alexandria database: crystalline LiGeF2 at its relaxed geometry (GGA-PBE). Values from VASP.

## Properties
Relative energy among the computed polymorphs   805 meV/atom

Quantum ESPRESSO input file:
```
&SYSTEM
  ibrav = 0, nat = 4, ntyp = 3
/
ATOMIC_SPECIES
Li 6.94 Li.upf
Ge 72.64 Ge.upf
F 19.00 F.upf
CELL_PARAMETERS angstrom
0.000 2.984 2.984
2.984 0.000 2.984
2.984 2.984 0.000
ATOMIC_POSITIONS crystal
Li 0.000 0.000 0.000
Ge 0.500 0.500 0.500
F 0.250 0.250 0.250
F 0.750 0.750 0.750
```

---

Entry from the Alexandria database: crystalline LiGeF2 at its relaxed geometry (GGA-PBE). Values from VASP.

## Properties
Relative energy among the computed polymorphs   0 meV/atom

Quantum ESPRESSO input file:
```
&SYSTEM
  ibrav = 0, nat = 4, ntyp = 3
/
ATOMIC_SPECIES
Li 6.94 Li.upf
Ge 72.64 Ge.upf
F 19.00 F.upf
CELL_PARAMETERS angstrom
1.479 0.854 6.370
-1.479 0.854 6.370
0.000 -1.708 6.370
ATOMIC_POSITIONS crystal
Li 0.000 0.000 0.000
Ge 0.500 0.500 0.500
F 0.391 0.391 0.391
F 0.609 0.609 0.609
```

---

Entry from the Alexandria database: crystalline Li3GeF6 at its relaxed geometry (GGA-PBE). Values from VASP.

Quantum ESPRESSO input file:
```
&SYSTEM
  ibrav = 0, nat = 20, ntyp = 3
/
ATOMIC_SPECIES
Li 6.94 Li.upf
Ge 72.64 Ge.upf
F 19.00 F.upf
CELL_PARAMETERS angstrom
4.205 -5.119 0.000
4.205 5.119 0.000
0.000 0.000 5.839
ATOMIC_POSITIONS crystal
Li 0.096 0.285 0.602
Li 0.147 0.853 0.500
Li 0.285 0.096 0.102
Li 0.715 0.904 0.602
Li 0.853 0.147 0.000
Li 0.904 0.715 0.102
Ge 0.360 0.640 0.872
Ge 0.640 0.360 0.372
F 0.125 0.577 0.684
F 0.130 0.217 0.906
F 0.212 0.788 0.079
F 0.217 0.130 0.406
F 0.423 0.875 0.684
F 0.486 0.514 0.163
F 0.514 0.486 0.663
F 0.577 0.125 0.184
F 0.783 0.870 0.906
F 0.788 0.212 0.579
F 0.870 0.783 0.406
F 0.875 0.423 0.184
```

---

Entry from the Alexandria database: crystalline LiGeF at its relaxed geometry (GGA-PBE). Values from VASP.

## Properties
Relative energy among the computed polymorphs   163 meV/atom

Quantum ESPRESSO input file:
```
&SYSTEM
  ibrav = 0, nat = 3, ntyp = 3
/
ATOMIC_SPECIES
Li 6.94 Li.upf
Ge 72.64 Ge.upf
F 19.00 F.upf
CELL_PARAMETERS angstrom
2.660 0.000 0.000
0.000 2.660 0.000
0.018 0.065 7.342
ATOMIC_POSITIONS crystal
Li 0.000 0.000 0.000
Ge 0.500 0.500 0.500
F 0.500 0.500 0.000
```

---

Entry from the Alexandria database: crystalline LiGeF at its relaxed geometry (GGA-PBE). Values from VASP.

## Properties
Relative energy among the computed polymorphs   328 meV/atom

Quantum ESPRESSO input file:
```
&SYSTEM
  ibrav = 0, nat = 6, ntyp = 3
/
ATOMIC_SPECIES
Li 6.94 Li.upf
Ge 72.64 Ge.upf
F 19.00 F.upf
CELL_PARAMETERS angstrom
-1.438 2.450 6.618
1.438 -2.450 6.618
1.438 2.450 -6.618
ATOMIC_POSITIONS crystal
Li 0.214 0.214 0.000
Li 0.786 0.786 0.000
Ge 0.245 0.500 0.745
Ge 0.755 0.500 0.255
F 0.295 0.795 0.500
F 0.705 0.205 0.500
```

---

Entry from the Alexandria database: crystalline LiGeF at its relaxed geometry (GGA-PBE). Values from VASP.

## Properties
Relative energy among the computed polymorphs   131 meV/atom

Quantum ESPRESSO input file:
```
&SYSTEM
  ibrav = 0, nat = 6, ntyp = 3
/
ATOMIC_SPECIES
Li 6.94 Li.upf
Ge 72.64 Ge.upf
F 19.00 F.upf
CELL_PARAMETERS angstrom
2.584 -2.583 0.000
2.584 2.583 0.000
-2.560 0.000 7.952
ATOMIC_POSITIONS crystal
Li 0.250 0.750 0.000
Li 0.750 0.250 0.000
Ge 0.486 0.486 0.497
Ge 0.988 0.988 0.499
F 0.282 0.282 0.065
F 0.717 0.717 0.935
```

---

Entry from the Alexandria database: crystalline LiGe2F at its relaxed geometry (GGA-PBE). Values from VASP.

## Properties
Relative energy among the computed polymorphs   0 meV/atom

Quantum ESPRESSO input file:
```
&SYSTEM
  ibrav = 0, nat = 8, ntyp = 3
/
ATOMIC_SPECIES
Li 6.94 Li.upf
Ge 72.64 Ge.upf
F 19.00 F.upf
CELL_PARAMETERS angstrom
-1.749 1.749 12.374
1.749 -1.749 12.374
1.749 1.749 -12.374
ATOMIC_POSITIONS crystal
Li 0.000 0.000 0.000
Li 0.750 0.250 0.500
Ge 0.121 0.625 0.996
Ge 0.375 0.371 0.496
Ge 0.629 0.125 0.004
Ge 0.875 0.879 0.504
F 0.250 0.750 0.500
F 0.500 0.500 0.000
```

---

Entry from the Alexandria database: crystalline LiGe3F at its relaxed geometry (GGA-PBE). Values from VASP.

## Properties
Relative energy among the computed polymorphs   267 meV/atom

Quantum ESPRESSO input file:
```
&SYSTEM
  ibrav = 0, nat = 5, ntyp = 3
/
ATOMIC_SPECIES
Li 6.94 Li.upf
Ge 72.64 Ge.upf
F 19.00 F.upf
CELL_PARAMETERS angstrom
4.538 0.000 0.000
0.000 4.538 0.000
0.000 0.000 4.538
ATOMIC_POSITIONS crystal
Li 0.000 0.000 0.000
Ge 0.000 0.000 0.500
Ge 0.000 0.500 0.000
Ge 0.500 0.000 0.000
F 0.500 0.500 0.500
```

---

Computed E, in the same sequence as the records: -4.464 -3.527 -4.854 -4.906 -3.934 -4.739 -4.714 -4.424 -4.259 -4.455 -4.021 -3.368 eV per atom.